The following is a DFT calculation (PBE-GGA) of a relaxed structure of SbPb2Au.

a b c (Å): 5.827 5.827 5.827
angles (deg): 131.61 131.61 70.84
Fractional positions:
Pb1 0.000 0.000 0.000
Pb2 0.500 0.500 0.000
Au1 0.750 0.250 0.500
Sb1 0.250 0.750 0.500

Formation energy without anion corrections   0.33 eV/f.u.
Magnetization   0.0 Bohr magnetons per cell
Energy   -14.5 eV per cell